Entry 1:
# LaReNiPb2, optimized geometry, DFT PBE-GGA
# density of states at the Fermi level: 4.7 states/eV per cell
# total moment: 0.287 μB/atom
# density: 10.8 g/cm3
# E_form: 2.88 eV/f.u.
data_LaReNiPb2
_symmetry_space_group_name_H-M 'P 4/m m m'
_symmetry_Int_Tables_number 123
_symmetry_space_group_name_Hall '-P 4 2'
_cell_length_a 5.003
_cell_length_b 5.003
_cell_length_c 4.917
_cell_angle_alpha 90.00
_cell_angle_beta 90.00
_cell_angle_gamma 90.00
loop_
_atom_site_label
_atom_site_type_symbol
_atom_site_fract_x
_atom_site_fract_y
_atom_site_fract_z
_atom_site_occupancy
La1 La 0.000 0.000 0.000 1
Re1 Re 0.500 0.500 0.000 1
Ni1 Ni 0.500 0.500 0.500 1
Pb1 Pb 0.000 0.500 0.500 1



Entry 2:
# SmPaAl4, optimized geometry, DFT PBE-GGA
# density of states at the Fermi level: 20.7 states/eV per cell
# total moment: 0.006 μB/atom
# density: 6.6 g/cm3
# E_form: -2.01 eV/f.u.
data_SmPaAl4
_symmetry_space_group_name_H-M 'F -4 3 m'
_symmetry_Int_Tables_number 216
_symmetry_space_group_name_Hall 'F -4 2 3'
_cell_length_a 7.895
_cell_length_b 7.895
_cell_length_c 7.895
_cell_angle_alpha 90.00
_cell_angle_beta 90.00
_cell_angle_gamma 90.00
loop_
_atom_site_label
_atom_site_type_symbol
_atom_site_fract_x
_atom_site_fract_y
_atom_site_fract_z
_atom_site_occupancy
Sm1 Sm 0.000 0.000 0.000 1
Pa1 Pa 0.250 0.250 0.250 1
Al1 Al 0.124 0.124 0.624 1



Entry 3:
# HfSbRh2Se, optimized geometry, DFT PBE-GGA
# density of states at the Fermi level: 4.4 states/eV per cell
# total moment: 0.000 μB/atom
# uncorrected formation energy: 0.8065 eV per atom
# density: 7.9 g/cm3
data_HfSbRh2Se
_symmetry_space_group_name_H-M 'P 4/m m m'
_symmetry_Int_Tables_number 123
_symmetry_space_group_name_Hall '-P 4 2'
_cell_length_a 4.795
_cell_length_b 4.795
_cell_length_c 5.364
_cell_angle_alpha 90.00
_cell_angle_beta 90.00
_cell_angle_gamma 90.00
loop_
_atom_site_label
_atom_site_type_symbol
_atom_site_fract_x
_atom_site_fract_y
_atom_site_fract_z
_atom_site_occupancy
Hf1 Hf 0.000 0.000 0.000 1
Sb1 Sb 0.000 0.000 0.500 1
Rh1 Rh 0.000 0.500 0.500 1
Se1 Se 0.500 0.500 0.000 1



Entry 4:
# Mg2AlAg, optimized geometry, DFT PBE-GGA
# density of states at the Fermi level: 1.1 states/eV per cell
# total moment: 0.000 μB/atom
# density: 3.9 g/cm3
# E_form: -0.43 eV/f.u.
data_Mg2AlAg
_symmetry_space_group_name_H-M 'P 1 m 1'
_symmetry_Int_Tables_number 6
_symmetry_space_group_name_Hall 'P -2y'
_cell_length_a 3.182
_cell_length_b 4.509
_cell_length_c 5.621
_cell_angle_alpha 90.00
_cell_angle_beta 105.79
_cell_angle_gamma 90.00
loop_
_atom_site_label
_atom_site_type_symbol
_atom_site_fract_x
_atom_site_fract_y
_atom_site_fract_z
_atom_site_occupancy
Mg1 Mg 0.000 0.000 0.000 1
Mg2 Mg 0.327 0.500 0.666 1
Al1 Al 0.727 0.000 0.466 1
Ag1 Ag 0.594 0.500 0.195 1



Entry 5:
# YSiPd2, optimized geometry, DFT PBE-GGA
# density of states at the Fermi level: 6.9 states/eV per cell
# total moment: 0.000 μB/atom
# uncorrected formation energy: -0.9777 eV per atom
# density: 7.7 g/cm3
data_YSiPd2
_symmetry_space_group_name_H-M 'P n m a'
_symmetry_Int_Tables_number 62
_symmetry_space_group_name_Hall '-P 2ac 2n'
_cell_length_a 7.343
_cell_length_b 7.016
_cell_length_c 5.536
_cell_angle_alpha 90.00
_cell_angle_beta 90.00
_cell_angle_gamma 90.00
loop_
_atom_site_label
_atom_site_type_symbol
_atom_site_fract_x
_atom_site_fract_y
_atom_site_fract_z
_atom_site_occupancy
Y1 Y 0.028 0.250 0.139 1
Si1 Si 0.122 0.750 0.361 1
Pd1 Pd 0.177 0.052 0.595 1



Entry 6:
# NaReB3, optimized geometry, DFT PBE-GGA
# density of states at the Fermi level: 5.1 states/eV per cell
# total moment: 0.000 μB/atom
# ΔE to the lowest computed polymorph: 2.544 eV/atom
# density: 6.7 g/cm3
# E_form: 15.83 eV/f.u.
data_NaReB3
_symmetry_space_group_name_H-M 'P m -3 m'
_symmetry_Int_Tables_number 221
_symmetry_space_group_name_Hall '-P 4 2 3'
_cell_length_a 3.910
_cell_length_b 3.910
_cell_length_c 3.910
_cell_angle_alpha 90.00
_cell_angle_beta 90.00
_cell_angle_gamma 90.00
loop_
_atom_site_label
_atom_site_type_symbol
_atom_site_fract_x
_atom_site_fract_y
_atom_site_fract_z
_atom_site_occupancy
Na1 Na 0.000 0.000 0.000 1
Re1 Re 0.500 0.500 0.500 1
B1 B 0.000 0.000 0.500 1



Entry 7:
# TlSn4Pb, optimized geometry, DFT PBE-GGA
# density of states at the Fermi level: 11.6 states/eV per cell
# total moment: 0.000 μB/atom
# ΔE to the lowest computed polymorph: 0.035 eV/atom
# density: 8.1 g/cm3
# E_form: 0.42 eV/f.u.
data_TlSn4Pb
_symmetry_space_group_name_H-M 'F -4 3 m'
_symmetry_Int_Tables_number 216
_symmetry_space_group_name_Hall 'F -4 2 3'
_cell_length_a 8.976
_cell_length_b 8.976
_cell_length_c 8.976
_cell_angle_alpha 90.00
_cell_angle_beta 90.00
_cell_angle_gamma 90.00
loop_
_atom_site_label
_atom_site_type_symbol
_atom_site_fract_x
_atom_site_fract_y
_atom_site_fract_z
_atom_site_occupancy
Tl1 Tl 0.000 0.000 0.000 1
Sn1 Sn 0.125 0.125 0.625 1
Pb1 Pb 0.250 0.250 0.250 1



Entry 8:
# Pd2Pb2Se, optimized geometry, DFT PBE-GGA
# density of states at the Fermi level: 4.2 states/eV per cell
# total moment: 0.000 μB/atom
# uncorrected formation energy: -0.1427 eV per atom
# ΔE to the lowest computed polymorph: 0.079 eV/atom
# density: 10.0 g/cm3
data_Pd2Pb2Se
_symmetry_space_group_name_H-M 'I 4/m m m'
_symmetry_Int_Tables_number 139
_symmetry_space_group_name_Hall '-I 4 2'
_cell_length_a 3.863
_cell_length_b 3.863
_cell_length_c 15.719
_cell_angle_alpha 90.00
_cell_angle_beta 90.00
_cell_angle_gamma 90.00
loop_
_atom_site_label
_atom_site_type_symbol
_atom_site_fract_x
_atom_site_fract_y
_atom_site_fract_z
_atom_site_occupancy
Pd1 Pd 0.000 0.500 0.250 1
Pb1 Pb 0.000 0.000 0.110 1
Se1 Se 0.000 0.000 0.500 1